Entry 1:
Entry from the Alexandria database: MgAg5 at its PBEsol-relaxed geometry (SCAN).

Structure (POSCAR):
```
MgAg5
1.0
4.0750 0.0000 0.0000
0.0000 12.3120 0.0000
0.0000 0.0000 4.0257
Mg Ag
2 10
direct
0.0000 0.0000 0.0000
0.5000 0.5000 0.0000
0.0000 0.1674 0.5000
0.0000 0.3340 0.0000
0.0000 0.5000 0.5000
0.0000 0.6660 0.0000
0.0000 0.8326 0.5000
0.5000 0.0000 0.5000
0.5000 0.1660 0.0000
0.5000 0.3326 0.5000
0.5000 0.6674 0.5000
0.5000 0.8340 0.0000
```

Computed properties:
- DFT formation energy: -0.1040 eV per atom
- Density: 9.27 g cm⁻³
- Symmetry: Cmmm (65)
- Crystal system: orthorhombic

---

Entry 2:
Entry from the Alexandria database: Mg3Ag at its PBEsol-relaxed geometry (SCAN).

Structure (POSCAR):
```
Mg3Ag
1.0
6.0896 0.0000 0.0000
0.0000 10.4303 0.0000
0.0000 0.0000 4.9683
Mg Ag
12 4
direct
0.0000 0.0869 0.2500
0.0000 0.9131 0.7500
0.2424 0.3429 0.2500
0.2424 0.6571 0.7500
0.2576 0.1571 0.7500
0.2576 0.8429 0.2500
0.5000 0.4131 0.7500
0.5000 0.5869 0.2500
0.7424 0.1571 0.7500
0.7424 0.8429 0.2500
0.7576 0.3429 0.2500
0.7576 0.6571 0.7500
0.0000 0.4077 0.7500
0.0000 0.5923 0.2500
0.5000 0.0923 0.2500
0.5000 0.9077 0.7500
```

Computed properties:
- DFT formation energy: -0.1114 eV per atom
- Density: 3.81 g cm⁻³
- Symmetry: Cmcm (63)
- Crystal system: orthorhombic

---

Entry 3:
Entry from the Alexandria database: MgAg5 at its PBEsol-relaxed geometry (SCAN).

Structure (POSCAR):
```
MgAg5
1.0
4.6589 0.0000 0.0000
0.0000 3.0014 0.0000
0.0000 0.0000 14.5238
Mg Ag
2 10
direct
0.0000 0.0000 0.0000
0.0000 0.5000 0.5000
0.0000 0.0000 0.3330
0.0000 0.0000 0.6661
0.0000 0.5000 0.1661
0.0000 0.5000 0.8330
0.5000 0.0000 0.2147
0.5000 0.0000 0.5489
0.5000 0.0000 0.8818
0.5000 0.5000 0.0489
0.5000 0.5000 0.3818
0.5000 0.5000 0.7147
```

Computed properties:
- DFT formation energy: -0.0787 eV per atom
- Density: 9.22 g cm⁻³
- Symmetry: Amm2 (38)
- Crystal system: orthorhombic

---

Entry 4:
Entry from the Alexandria database: MgAg5 at its PBEsol-relaxed geometry (SCAN).

Structure (POSCAR):
```
MgAg5
1.0
2.9130 0.0000 0.0000
0.0000 2.9130 0.0000
0.0000 0.0000 11.9768
Mg Ag
1 5
direct
0.0000 0.0000 0.0000
0.0000 0.0000 0.3340
0.0000 0.0000 0.6660
0.5000 0.5000 0.1664
0.5000 0.5000 0.5000
0.5000 0.5000 0.8336
```

Computed properties:
- DFT formation energy: -0.0755 eV per atom
- Density: 9.21 g cm⁻³
- Symmetry: P4/mmm (123)
- Crystal system: tetragonal